Below is a relaxed structure of TbPrTm14, with properties calculated at the PBE-GGA level.

Geometry as extended XYZ:
```
16
Lattice="11.3246 0.0000 0.0000 0.0000 3.5291 6.1003 0.0000 -3.5291 6.1003" Properties=species:S:1:pos:R:3 pbc="T T T"
Tb 0.0000 0.0000 0.0000
Pr 0.0000 0.0000 6.0978
Tm 0.0000 -1.7635 3.0511
Tm 0.0000 1.7635 3.0511
Tm 2.8430 0.0000 2.0398
Tm 2.8613 0.0000 8.1433
Tm 2.8729 -1.7688 5.0828
Tm 2.8729 1.7688 5.0828
Tm 5.6623 0.0000 4.0694
Tm 5.6623 -1.7661 7.1251
Tm 5.6623 1.7661 7.1251
Tm 5.6623 0.0000 10.1705
Tm 8.4516 -1.7688 5.0828
Tm 8.4516 1.7688 5.0828
Tm 8.4633 0.0000 8.1433
Tm 8.4816 0.0000 2.0398
```

Summary:
The density of states at the Fermi level comes out at 1.4027 states/eV/atom. For the formation energy, the calculation gives 0.0123 eV/atom.